# LaMnTcP2

A geometry-optimized LaMnTcP2 structure (GGA-PBE, Alexandria via LeMat-Bulk).

Unit cell a=6.4422 b=6.4422 c=6.4422 alpha=144.72 beta=144.72 gamma=50.75
Closest atoms and distances in Å follow each position.
Element x y z (fractional)
La1 0.0000 0.0000 0.0000  8 P 3.19, 4 Tc 3.50, 4 Mn 3.50
Mn1 0.2500 0.7500 0.5000  4 P 2.35
Tc1 0.7500 0.2500 0.5000  4 P 2.35
P1 0.3627 0.3627 0.0000  2 Tc 2.35, 2 Mn 2.35
P2 0.6373 0.6373 0.0000  2 Tc 2.35, 2 Mn 2.35

Computed properties:
N(E_F) (states/eV per atom): 0.60
ρ (g cm⁻³): 6.6
Size of the total moment (μB per formula unit): 2.7
Space-group type: I-4m2
Energy of formation (meV/atom): -917.4